{"formula": "TbLuO3", "functional": "PBE", "state": "optimized geometry", "lattice": [[-2.3790, -4.5857, 2.2038], [1.3422, -3.0331, -4.8623], [7.2602, -2.1568, 3.3496]], "species": ["Tb", "Tb", "Tb", "Tb", "Lu", "Lu", "Lu", "Lu", "O", "O", "O", "O", "O", "O", "O", "O", "O", "O", "O", "O"], "fractional_positions": [[0.0201, 0.9446, 0.7500], [0.4799, 0.4446, 0.7500], [0.5201, 0.5554, 0.2500], [0.9799, 0.0554, 0.2500], [0.0000, 0.5000, 0.0000], [0.0000, 0.5000, 0.5000], [0.5000, 0.0000, 0.0000], [0.5000, 0.0000, 0.5000], [0.1425, 0.4294, 0.2500], [0.1878, 0.1910, 0.5757], [0.1878, 0.1910, 0.9243], [0.3122, 0.6910, 0.9243], [0.3122, 0.6910, 0.5757], [0.3575, 0.9294, 0.2500], [0.6425, 0.0706, 0.7500], [0.6878, 0.3090, 0.0757], [0.6878, 0.3090, 0.4243], [0.8122, 0.8090, 0.0757], [0.8122, 0.8090, 0.4243], [0.8575, 0.5706, 0.7500]], "rho_g_cm3": 9.27, "formation_energy_uncorrected_mev_per_atom": -3570, "dft_energy_ev_per_atom": -8.375}